1.
Here is a relaxed Cr4SiAu crystal from the Alexandria database. Energies are from PBE-GGA.

Values from the calculation:
* DFT total energy: -45.1 eV/f.u.
* raw formation energy: 2.130 eV per formula unit
* magnetization: 0.00 Bohr magnetons per cell
* space group: F-43m, No. 216
* DOS(E_F): 1.050 states/eV per atom

abc: 4.806 4.806 4.806
angles: 60.00 60.00 60.00
Atoms (fractional coordinates):
Cr1 0.625 0.625 0.625
Cr2 0.625 0.625 0.126
Cr3 0.625 0.126 0.625
Cr4 0.126 0.625 0.625
Si1 0.250 0.250 0.250
Au1 0.000 0.000 0.000


2.
Here is a relaxed CrSi2Au crystal from the Alexandria database. Energies are from PBE-GGA.

Values from the calculation:
* DFT total energy: -23.2 eV/f.u.
* polymorph energy (0 for the lowest one): 177 meV per atom
* raw formation energy: 0.514 eV per formula unit
* magnetization: 0.00 Bohr magnetons per cell
* space group: R-3m, No. 166
* DOS(E_F): 1.119 states/eV per atom

abc: 8.312 8.312 8.312
angles: 19.81 19.81 19.81
Atoms (fractional coordinates):
Au1 0.250 0.250 0.250
Si1 0.011 0.011 0.011
Si2 0.489 0.489 0.489
Cr1 0.750 0.750 0.750